1.
Here is a crystal of Tc2AgF relaxed with PBEsol from the Alexandria database. Energies are from SCAN.

Structure (POSCAR):
```
Tc2AgF
1.0
0.000 3.010 3.010
3.010 0.000 3.010
3.010 3.010 0.000
Tc Ag F
2 1 1
direct
0.250 0.250 0.250
0.750 0.750 0.750
0.000 0.000 0.000
0.500 0.500 0.500
```

Properties
As for the space-group type: Fm-3m (225).

2.
Here is a crystal of Tc2AgF2 relaxed with PBEsol from the Alexandria database. Energies are from SCAN.

Structure (POSCAR):
```
Tc2AgF2
1.0
-1.682 1.682 6.344
1.682 -1.682 6.344
1.682 1.682 -6.344
Tc Ag F
2 1 2
direct
0.250 0.750 0.500
0.750 0.250 0.500
0.000 0.000 0.000
0.401 0.401 0.000
0.599 0.599 0.000
```

Properties
As for the space-group type: I4/mmm (139).

3.
Here is a crystal of Zr2AgTeF relaxed with PBEsol from the Alexandria database. Energies are from SCAN.

Structure (POSCAR):
```
Zr2AgTeF
1.0
4.321 0.000 0.000
0.000 4.321 0.000
0.000 0.000 5.258
Zr Ag Te F
2 1 1 1
direct
0.000 0.500 0.000
0.500 0.000 0.000
0.000 0.000 0.500
0.500 0.500 0.500
0.500 0.500 0.000
```

Properties
As for the space-group type: P4/mmm (123).

4.
Here is a crystal of TiAgF6 relaxed with PBEsol from the Alexandria database. Energies are from SCAN.

Structure (POSCAR):
```
TiAgF6
1.0
5.093 0.000 0.000
-2.536 4.614 0.000
-0.049 -2.746 4.765
Ti Ag F
1 1 6
direct
0.000 0.000 0.000
0.500 0.000 0.500
0.100 0.856 0.229
0.228 0.865 0.759
0.351 0.419 0.212
0.649 0.581 0.788
0.772 0.135 0.241
0.900 0.144 0.771
```

Properties
As for the space-group type: P-1 (2).

5.
Here is a crystal of Zr2TiAgF relaxed with PBEsol from the Alexandria database. Energies are from SCAN.

Structure (POSCAR):
```
Zr2TiAgF
1.0
5.293 0.000 0.000
0.000 5.293 0.000
0.000 0.000 3.961
Zr Ti Ag F
2 1 1 1
direct
0.000 0.500 0.000
0.500 0.000 0.000
0.000 0.000 0.500
0.500 0.500 0.000
0.500 0.500 0.500
```

Properties
As for the space-group type: P4/mmm (123).

6.
Here is a crystal of TlAgF3 relaxed with PBEsol from the Alexandria database. Energies are from SCAN.

Structure (POSCAR):
```
TlAgF3
1.0
4.319 0.000 0.000
0.000 4.319 0.000
0.000 0.000 4.319
Tl Ag F
1 1 3
direct
0.000 0.000 0.000
0.500 0.500 0.500
0.000 0.500 0.500
0.500 0.000 0.500
0.500 0.500 0.000
```

Properties
As for the space-group type: Pm-3m (221). The value obtained for the energy above the most stable polymorph in this dataset is 0.0198 eV/atom.

7.
Here is a crystal of TlAgF3 relaxed with PBEsol from the Alexandria database. Energies are from SCAN.

Structure (POSCAR):
```
TlAgF3
1.0
5.598 -3.671 0.000
5.598 3.671 0.000
-1.515 0.000 7.487
Tl Ag F
4 4 12
direct
0.165 0.835 0.750
0.308 0.692 0.250
0.692 0.308 0.750
0.835 0.165 0.250
0.225 0.257 0.408
0.257 0.225 0.908
0.743 0.775 0.092
0.775 0.743 0.592
0.070 0.651 0.392
0.092 0.669 0.006
0.331 0.908 0.494
0.332 0.422 0.705
0.349 0.930 0.108
0.422 0.332 0.205
0.578 0.668 0.795
0.651 0.070 0.892
0.668 0.578 0.295
0.669 0.092 0.506
0.908 0.331 0.994
0.930 0.349 0.608
```

Properties
As for the space-group type: C2/c (15). The value obtained for the energy above the most stable polymorph in this dataset is 0.0000 eV/atom.

8.
Here is a crystal of YAg2WF relaxed with PBEsol from the Alexandria database. Energies are from SCAN.

Structure (POSCAR):
```
YAg2WF
1.0
5.093 0.000 0.000
0.000 5.093 0.000
0.000 0.000 3.953
Y Ag W F
1 2 1 1
direct
0.000 0.000 0.000
0.000 0.500 0.500
0.500 0.000 0.500
0.500 0.500 0.500
0.500 0.500 0.000
```

Properties
As for the space-group type: P4/mmm (123).

9.
Here is a crystal of Y2AgF2 relaxed with PBEsol from the Alexandria database. Energies are from SCAN.

Structure (POSCAR):
```
Y2AgF2
1.0
-1.800 1.800 6.697
1.800 -1.800 6.697
1.800 1.800 -6.697
Y Ag F
2 1 2
direct
0.135 0.135 0.000
0.865 0.865 0.000
0.500 0.500 0.000
0.250 0.750 0.500
0.750 0.250 0.500
```

Properties
As for the space-group type: I4/mmm (139).

10.
Here is a crystal of ZnAgF3 relaxed with PBEsol from the Alexandria database. Energies are from SCAN.

Structure (POSCAR):
```
ZnAgF3
1.0
3.983 0.000 0.000
0.000 3.983 0.000
0.000 0.000 3.983
Zn Ag F
1 1 3
direct
0.000 0.000 0.000
0.500 0.500 0.500
0.000 0.000 0.500
0.000 0.500 0.000
0.500 0.000 0.000
```

Properties
As for the space-group type: Pm-3m (221).

11.
Here is a crystal of ZnAgF3 relaxed with PBEsol from the Alexandria database. Energies are from SCAN.

Structure (POSCAR):
```
ZnAgF3
1.0
2.687 1.551 5.464
-2.687 1.551 5.464
0.000 -3.103 5.464
Zn Ag F
2 2 6
direct
0.160 0.160 0.160
0.840 0.840 0.840
0.355 0.355 0.355
0.645 0.645 0.645
0.046 0.804 0.441
0.196 0.559 0.954
0.441 0.046 0.804
0.559 0.954 0.196
0.804 0.441 0.046
0.954 0.196 0.559
```

Properties
As for the space-group type: R-3 (148).

12.
Here is a crystal of ZnAgF3 relaxed with PBEsol from the Alexandria database. Energies are from SCAN.

Structure (POSCAR):
```
ZnAgF3
1.0
4.239 0.000 0.000
0.000 4.239 0.000
0.000 0.000 4.239
Zn Ag F
1 1 3
direct
0.000 0.000 0.000
0.500 0.500 0.500
0.000 0.500 0.500
0.500 0.000 0.500
0.500 0.500 0.000
```

Properties
As for the space-group type: Pm-3m (221).

Number 1: magnetization 0.000 μB per formula unit, formation energy without anion corrections 0.83 eV per atom. Number 2: magnetization 0.000 μB per formula unit, formation energy without anion corrections 0.04 eV per atom. Number 3: magnetization 0.000 μB per formula unit, formation energy without anion corrections -0.67 eV per atom. Number 4: magnetization 1.007 μB per formula unit, formation energy without anion corrections -2.69 eV per atom. Number 5: magnetization 4.381 μB per formula unit, formation energy without anion corrections 0.64 eV per atom. Number 6: magnetization 0.001 μB per formula unit, formation energy without anion corrections -1.54 eV per atom. Number 7: magnetization 0.000 μB per formula unit, formation energy without anion corrections -1.56 eV per atom. Number 8: magnetization 0.002 μB per formula unit, formation energy without anion corrections 0.13 eV per atom. Number 9: magnetization 0.001 μB per formula unit, formation energy without anion corrections -2.48 eV per atom. Number 10: magnetization 0.044 μB per formula unit, formation energy without anion corrections -1.91 eV per atom. Number 11: magnetization 0.000 μB per formula unit, formation energy without anion corrections -1.92 eV per atom. Number 12: magnetization 0.994 μB per formula unit, formation energy without anion corrections -0.98 eV per atom.